Compound: KZrTe3
Source: the Alexandria database
Functional: PBE-GGA
Structure: relaxed

```
data_KZrTe3
_cell_length_a 5.699
_cell_length_b 5.699
_cell_length_c 5.699
_cell_angle_alpha 90.00
_cell_angle_beta 90.00
_cell_angle_gamma 90.00
_symmetry_space_group_name_H-M 'P m -3 m'
_symmetry_Int_Tables_number 221
_symmetry_space_group_name_Hall '-P 4 2 3'
loop_
_atom_site_label
_atom_site_type_symbol
_atom_site_fract_x
_atom_site_fract_y
_atom_site_fract_z
K1 K 0.000 0.000 0.000
Zr1 Zr 0.500 0.500 0.500
Te1 Te 0.000 0.500 0.500
```

Results
Offset from the most stable computed form: 0.063 eV/atom
ΔE_f (raw): -3.641 eV/f.u.
Size of the total moment: 0.0 μB per cell

Compound: K2ZrTe
Source: the Alexandria database
Functional: PBE-GGA
Structure: relaxed

```
data_K2ZrTe
_cell_length_a 12.055
_cell_length_b 12.055
_cell_length_c 5.620
_cell_angle_alpha 90.00
_cell_angle_beta 90.00
_cell_angle_gamma 90.00
_symmetry_space_group_name_H-M 'I -4 2 d'
_symmetry_Int_Tables_number 122
_symmetry_space_group_name_Hall 'I -4 2bw'
loop_
_atom_site_label
_atom_site_type_symbol
_atom_site_fract_x
_atom_site_fract_y
_atom_site_fract_z
K1 K 0.126 0.250 0.125
Zr1 Zr 0.000 0.000 0.500
Te1 Te 0.000 0.000 0.000
```

Results
ΔE_f (raw): 0.677 eV/f.u.
Size of the total moment: 10.2 μB per cell

| no. | final energy (eV per cell) |
| --- | --- |
| 1 | -22.71 |
| 2 | -52.83 |